The following is a DFT calculation (PBE) of a relaxed PuTh2ZnN5 crystal.

a = 3.490 Å, b = 7.134 Å, c = 10.481 Å
α = 90.00°, β = 90.00°, γ = 104.16°
Each line ends with the local moment (μB).
Atoms (fractional coordinates):
Pu  0.799  0.598  0.508  3.44
Th  0.132  0.264  0.300  0.06
N  0.646  0.291  0.508  -0.11
N  0.354  0.709  0.008  -0.11
N  0.507  0.013  0.277  -0.02
N  0.493  0.987  0.777  -0.02
Th  0.868  0.736  0.800  0.06
N  0.714  0.429  0.154  -0.13
N  0.052  0.103  0.053  -0.13
N  0.948  0.897  0.553  -0.13
N  0.305  0.609  0.365  -0.14
Zn  0.481  0.961  0.467  -0.01
Zn  0.519  0.039  0.967  -0.01
Th  0.889  0.778  0.192  0.03
N  0.286  0.571  0.654  -0.13
Th  0.111  0.222  0.692  0.03
Pu  0.201  0.402  0.008  3.44
N  0.695  0.391  0.865  -0.14

## Properties
Spin magnetization, μB per formula unit: 2.98
Uncorrected formation energy, eV per atom: -1.07
ρ, g/cm3: 11.071